one | Here is TmScPa2 after structural relaxation from the Alexandria database. Energies are from PBE. Values from VASP.

Properties
SG: R3m (160)
DOS(E_F) in states/eV per cell: 8.21
Crystal system: trigonal
Calculated volume in Å³ per cell: 102.35

The structure in Quantum ESPRESSO input format:
```
&SYSTEM
  ibrav = 0, nat = 4, ntyp = 3
/
ATOMIC_SPECIES
Pa 231.04 Pa.upf
Tm 168.93 Tm.upf
Sc 44.96 Sc.upf
CELL_PARAMETERS angstrom
-1.364 1.708 -2.418
-3.143 -0.448 -0.741
-4.342 8.381 6.173
ATOMIC_POSITIONS crystal
Pa 0.252 0.252 0.245
Tm 0.500 0.500 0.501
Pa 0.082 0.082 0.755
Sc 0.667 0.667 0.998
```

two | Here is TmScPa2 after structural relaxation from the Alexandria database. Energies are from PBE. Values from VASP.

Properties
SG: Fm-3m (225)
DOS(E_F) in states/eV per cell: 11.21
Crystal system: cubic
Calculated volume in Å³ per cell: 104.77

The structure in Quantum ESPRESSO input format:
```
&SYSTEM
  ibrav = 0, nat = 4, ntyp = 3
/
ATOMIC_SPECIES
Pa 231.04 Pa.upf
Sc 44.96 Sc.upf
Tm 168.93 Tm.upf
CELL_PARAMETERS angstrom
-4.472 -0.226 2.819
-3.049 -4.319 -0.218
-0.328 -3.220 4.187
ATOMIC_POSITIONS crystal
Pa 0.250 0.250 0.250
Sc 0.500 0.500 0.500
Tm 0.000 0.000 0.000
Pa 0.750 0.750 0.750
```

What is the stability order? It is one, two, from most stable to least stable.

one | Here is Tm2ScPa after structural relaxation from the Alexandria database. Energies are from PBE. Values from VASP.

Properties
SG: P4/mmm (123)
DOS(E_F) in states/eV per cell: 3.77
Crystal system: tetragonal
Calculated volume in Å³ per cell: 107.98

The structure in Quantum ESPRESSO input format:
```
&SYSTEM
  ibrav = 0, nat = 4, ntyp = 3
/
ATOMIC_SPECIES
Tm 168.93 Tm.upf
Sc 44.96 Sc.upf
Pa 231.04 Pa.upf
CELL_PARAMETERS angstrom
-3.056 0.189 -3.648
1.025 -4.520 -1.093
-3.505 -1.486 2.859
ATOMIC_POSITIONS crystal
Tm 0.000 0.500 0.000
Sc 0.500 0.000 0.000
Pa 0.500 0.500 0.500
Tm 0.000 0.000 0.500
```

two | Here is Tm2ScPa after structural relaxation from the Alexandria database. Energies are from PBE. Values from VASP.

Properties
SG: P4/mmm (123)
DOS(E_F) in states/eV per cell: 6.55
Crystal system: tetragonal
Calculated volume in Å³ per cell: 108.83

The structure in Quantum ESPRESSO input format:
```
&SYSTEM
  ibrav = 0, nat = 4, ntyp = 3
/
ATOMIC_SPECIES
Tm 168.93 Tm.upf
Sc 44.96 Sc.upf
Pa 231.04 Pa.upf
CELL_PARAMETERS angstrom
3.316 0.000 0.000
0.000 3.316 0.000
0.000 0.000 9.900
ATOMIC_POSITIONS crystal
Tm 0.000 0.000 0.246
Sc 0.500 0.500 0.500
Tm 0.000 0.000 0.754
Pa 0.500 0.500 0.000
```

What is the stability order? It is two, one, from most stable to least stable.

one | Here is TmScPa after structural relaxation from the Alexandria database. Energies are from PBE. Values from VASP.

Properties
SG: R-3m (166)
DOS(E_F) in states/eV per cell: 15.16
Crystal system: trigonal
Calculated volume in Å³ per cell: 180.56

The structure in Quantum ESPRESSO input format:
```
&SYSTEM
  ibrav = 0, nat = 6, ntyp = 3
/
ATOMIC_SPECIES
Pa 231.04 Pa.upf
Tm 168.93 Tm.upf
Sc 44.96 Sc.upf
CELL_PARAMETERS angstrom
5.024 0.000 0.000
2.512 4.351 0.000
2.512 1.450 8.259
ATOMIC_POSITIONS crystal
Pa 0.159 0.159 0.523
Tm 0.708 0.708 0.875
Pa 0.841 0.841 0.477
Sc 0.439 0.439 0.684
Tm 0.292 0.292 0.125
Sc 0.561 0.561 0.316
```

two | Here is TmScPa after structural relaxation from the Alexandria database. Energies are from PBE. Values from VASP.

Properties
SG: P-3m1 (164)
DOS(E_F) in states/eV per cell: 10.96
Crystal system: trigonal
Calculated volume in Å³ per cell: 157.93

The structure in Quantum ESPRESSO input format:
```
&SYSTEM
  ibrav = 0, nat = 6, ntyp = 3
/
ATOMIC_SPECIES
Tm 168.93 Tm.upf
Sc 44.96 Sc.upf
Pa 231.04 Pa.upf
CELL_PARAMETERS angstrom
3.350 0.000 0.001
1.675 2.901 0.000
-0.001 0.000 16.248
ATOMIC_POSITIONS crystal
Tm 0.295 0.645 0.040
Sc 0.962 0.312 0.212
Pa 0.629 0.979 0.708
Tm 0.295 0.645 0.542
Pa 0.962 0.312 0.873
Sc 0.629 0.978 0.370
```

What is the stability order? It is two, one, from most stable to least stable.

one | Here is TmScPa after structural relaxation from the Alexandria database. Energies are from PBE. Values from VASP.

Properties
SG: P3m1 (156)
DOS(E_F) in states/eV per cell: 3.92
Crystal system: trigonal
Calculated volume in Å³ per cell: 78.34

The structure in Quantum ESPRESSO input format:
```
&SYSTEM
  ibrav = 0, nat = 3, ntyp = 3
/
ATOMIC_SPECIES
Sc 44.96 Sc.upf
Tm 168.93 Tm.upf
Pa 231.04 Pa.upf
CELL_PARAMETERS angstrom
3.329 0.000 0.000
-1.665 2.883 0.000
0.000 0.000 8.163
ATOMIC_POSITIONS crystal
Sc 0.667 0.333 0.322
Tm 0.333 0.667 0.672
Pa 0.000 0.000 0.006
```

two | Here is TmScPa after structural relaxation from the Alexandria database. Energies are from PBE. Values from VASP.

Properties
SG: I4mm (107)
DOS(E_F) in states/eV per cell: 5.67
Crystal system: tetragonal
Calculated volume in Å³ per cell: 79.02

The structure in Quantum ESPRESSO input format:
```
&SYSTEM
  ibrav = 0, nat = 3, ntyp = 3
/
ATOMIC_SPECIES
Sc 44.96 Sc.upf
Tm 168.93 Tm.upf
Pa 231.04 Pa.upf
CELL_PARAMETERS angstrom
3.293 0.000 0.000
0.000 3.293 0.000
-1.646 -1.646 7.287
ATOMIC_POSITIONS crystal
Sc 0.609 0.609 0.219
Tm 0.287 0.287 0.575
Pa 0.953 0.953 0.907
```

What is the stability order? It is one, two, from most stable to least stable.

one | Here is ScUPa after structural relaxation from the Alexandria database. Energies are from PBE. Values from VASP.

Properties
SG: I4/mmm (139)
DOS(E_F) in states/eV per cell: 12.45
Crystal system: tetragonal
Calculated volume in Å³ per cell: 147.92

The structure in Quantum ESPRESSO input format:
```
&SYSTEM
  ibrav = 0, nat = 6, ntyp = 3
/
ATOMIC_SPECIES
U 238.03 U.upf
Sc 44.96 Sc.upf
Pa 231.04 Pa.upf
CELL_PARAMETERS angstrom
3.257 0.000 0.000
0.000 3.257 0.000
-1.628 -1.628 13.947
ATOMIC_POSITIONS crystal
U 0.220 0.220 0.439
Sc 0.058 0.058 0.116
Sc 0.942 0.942 0.884
U 0.780 0.780 0.561
Pa 0.359 0.359 0.719
Pa 0.641 0.641 0.281
```

two | Here is ScUPa after structural relaxation from the Alexandria database. Energies are from PBE. Values from VASP.

Properties
SG: P-6m2 (187)
DOS(E_F) in states/eV per cell: 8.26
Crystal system: hexagonal
Calculated volume in Å³ per cell: 66.56

The structure in Quantum ESPRESSO input format:
```
&SYSTEM
  ibrav = 0, nat = 3, ntyp = 3
/
ATOMIC_SPECIES
Pa 231.04 Pa.upf
U 238.03 U.upf
Sc 44.96 Sc.upf
CELL_PARAMETERS angstrom
2.978 0.000 0.000
0.000 5.080 0.000
0.000 -2.540 4.399
ATOMIC_POSITIONS crystal
Pa 0.167 0.000 0.000
U 0.167 0.667 0.333
Sc 0.667 0.333 0.667
```

What is the stability order? It is two, one, from most stable to least stable.

one | Here is ScPaV after structural relaxation from the Alexandria database. Energies are from PBE. Values from VASP.

Properties
SG: Amm2 (38)
DOS(E_F) in states/eV per cell: 23.14
Crystal system: orthorhombic
Calculated volume in Å³ per cell: 374.73

The structure in Quantum ESPRESSO input format:
```
&SYSTEM
  ibrav = 0, nat = 18, ntyp = 3
/
ATOMIC_SPECIES
Pa 231.04 Pa.upf
Sc 44.96 Sc.upf
V 50.94 V.upf
CELL_PARAMETERS angstrom
6.560 0.000 0.000
3.280 7.544 -0.812
3.280 1.746 7.384
ATOMIC_POSITIONS crystal
Pa 0.259 0.250 0.750
Pa 0.924 0.333 0.333
Sc 0.733 0.012 0.512
V 0.023 0.616 0.616
V 0.255 0.884 0.884
Pa 0.259 0.750 0.250
V 0.487 0.000 0.000
V 0.023 0.116 0.116
Sc 0.257 0.488 0.988
Sc 0.257 0.988 0.488
Pa 0.591 0.667 0.667
Pa 0.924 0.833 0.833
Sc 0.733 0.512 0.012
Sc 0.783 0.250 0.750
V 0.487 0.500 0.500
Pa 0.591 0.167 0.167
Sc 0.783 0.750 0.250
V 0.255 0.384 0.384
```

two | Here is ScPaV after structural relaxation from the Alexandria database. Energies are from PBE. Values from VASP.

Properties
SG: I4mm (107)
DOS(E_F) in states/eV per cell: 5.39
Crystal system: tetragonal
Calculated volume in Å³ per cell: 60.39

The structure in Quantum ESPRESSO input format:
```
&SYSTEM
  ibrav = 0, nat = 3, ntyp = 3
/
ATOMIC_SPECIES
Sc 44.96 Sc.upf
V 50.94 V.upf
Pa 231.04 Pa.upf
CELL_PARAMETERS angstrom
-3.095 1.277 -0.011
-1.277 -3.094 0.099
2.230 1.062 5.340
ATOMIC_POSITIONS crystal
Sc 0.610 0.610 0.220
V 0.935 0.935 0.871
Pa 0.305 0.305 0.609
```

What is the stability order? It is two, one, from most stable to least stable.